First-principles (PBE-GGA) data for CrTeAu2S after structural relaxation, as listed in Alexandria via LeMat-Bulk.

a b c (Å): 4.6343 6.0085 4.6343
angles (deg): 90.00 90.00 90.00
Element x y z (fractional)
S1 0.0000 0.0000 0.0000
Au1 0.5000 0.0000 0.0000
Au2 0.0000 0.0000 0.5000
Te1 0.0000 0.5000 0.0000
Cr1 0.5000 0.5000 0.5000

**E_form (uncorrected)**: 0.623 eV/atom
**Volume**: 129 Å³/cell
**Total moment**: 4.7 μB per cell
**Crystal system**: tetragonal
**DFT total energy**: -4.07 eV/atom

First-principles (PBE-GGA) data for TlCrAuS2 after structural relaxation, as listed in Alexandria via LeMat-Bulk.

a b c (Å): 5.5102 6.2599 7.4411
angles (deg): 114.87 90.00 90.00
Element x y z (fractional)
Tl1 0.2101 0.7500 0.5000
Tl2 0.7899 0.2500 0.5000
Cr1 0.5000 0.2500 0.0000
Cr2 0.5000 0.7500 0.0000
S1 0.6719 0.8865 0.7730
S2 0.6719 0.6135 0.2270
S3 0.3281 0.1135 0.2270
S4 0.3281 0.3865 0.7730
Au1 0.0000 0.0000 0.0000
Au2 0.0000 0.5000 0.0000

**E_form (uncorrected)**: -0.281 eV/atom
**Volume**: 233 Å³/cell
**Total moment**: 7.6 μB per cell
**Crystal system**: orthorhombic
**DFT total energy**: -4.99 eV/atom

First-principles (PBE-GGA) data for YCrAuS2 after structural relaxation, as listed in Alexandria via LeMat-Bulk.

a b c (Å): 4.3522 5.6132 4.3522
angles (deg): 90.00 90.00 90.00
Element x y z (fractional)
Y1 0.0000 0.5000 0.0000
S1 0.5000 0.0000 0.0000
S2 0.0000 0.0000 0.5000
Cr1 0.0000 0.0000 0.0000
Au1 0.5000 0.5000 0.5000

**E_form (uncorrected)**: -0.185 eV/atom
**Volume**: 106 Å³/cell
**Total moment**: 0.0 μB per cell
**Crystal system**: tetragonal
**DFT total energy**: -5.71 eV/atom

First-principles (PBE-GGA) data for Cr2SbAu2 after structural relaxation, as listed in Alexandria via LeMat-Bulk.

a b c (Å): 6.4690 6.4690 4.1347
angles (deg): 90.00 90.00 90.00
Element x y z (fractional)
Cr1 0.3936 0.8936 0.0000
Cr2 0.6064 0.1064 0.0000
Cr3 0.1064 0.3936 0.0000
Cr4 0.8936 0.6064 0.0000
Au1 0.6770 0.8230 0.5000
Au2 0.1770 0.6770 0.5000
Au3 0.8230 0.3230 0.5000
Au4 0.3230 0.1770 0.5000
Sb1 0.0000 0.0000 0.0000
Sb2 0.5000 0.5000 0.0000

**E_form (uncorrected)**: 0.300 eV/atom
**Volume**: 173 Å³/cell
**Total moment**: 0.0 μB per cell
**Crystal system**: tetragonal
**DFT total energy**: -5.68 eV/atom

First-principles (PBE-GGA) data for Cr3SbAu after structural relaxation, as listed in Alexandria via LeMat-Bulk.

a b c (Å): 4.9996 4.9996 4.9996
angles (deg): 90.00 90.00 90.00
Element x y z (fractional)
Cr1 0.0000 0.0000 0.5000
Cr2 0.0000 0.5000 0.0000
Cr3 0.5000 0.0000 0.0000
Sb1 0.5000 0.5000 0.5000
Au1 0.0000 0.0000 0.0000

**E_form (uncorrected)**: 1.089 eV/atom
**Volume**: 125 Å³/cell
**Total moment**: 13.1 μB per cell
**Crystal system**: cubic
**DFT total energy**: -6.16 eV/atom

First-principles (PBE-GGA) data for CrSbAu after structural relaxation, as listed in Alexandria via LeMat-Bulk.

a b c (Å): 6.0522 6.0522 6.0522
angles (deg): 148.55 148.55 45.08
Element x y z (fractional)
Cr1 0.3395 0.3395 0.0000
Au1 0.9796 0.9796 0.0000
Sb1 0.6810 0.6810 0.0000

**E_form (uncorrected)**: 0.226 eV/atom
**Volume**: 60 Å³/cell
**Total moment**: 3.7 μB per cell
**Crystal system**: tetragonal
**DFT total energy**: -5.45 eV/atom

First-principles (PBE-GGA) data for CrSbAu3 after structural relaxation, as listed in Alexandria via LeMat-Bulk.

a b c (Å): 5.1971 5.1971 5.1971
angles (deg): 90.00 90.00 90.00
Element x y z (fractional)
Au1 0.0000 0.0000 0.5000
Au2 0.5000 0.0000 0.0000
Au3 0.0000 0.5000 0.0000
Sb1 0.0000 0.0000 0.0000
Cr1 0.5000 0.5000 0.5000

**E_form (uncorrected)**: 0.745 eV/atom
**Volume**: 140 Å³/cell
**Total moment**: 5.1 μB per cell
**Crystal system**: cubic
**DFT total energy**: -3.97 eV/atom

First-principles (PBE-GGA) data for Cr4SbAu after structural relaxation, as listed in Alexandria via LeMat-Bulk.

a b c (Å): 4.9502 4.9502 4.9502
angles (deg): 60.00 60.00 60.00
Element x y z (fractional)
Sb1 0.2500 0.2500 0.2500
Cr1 0.6277 0.6277 0.6277
Cr2 0.6277 0.1168 0.6277
Cr3 0.1168 0.6277 0.6277
Cr4 0.6277 0.6277 0.1168
Au1 0.0000 0.0000 0.0000

**E_form (uncorrected)**: 0.428 eV/atom
**Volume**: 86 Å³/cell
**Total moment**: 0.0 μB per cell
**Crystal system**: cubic
**DFT total energy**: -7.22 eV/atom